KBeF2: optimized geometry, PBE.

abc: 6.1577 6.1577 6.1577
angles: 90.00 90.00 90.00
Space group Fm-3m (No. 225)
Asymmetric unit:
K 0.0000 0.0000 0.0000 x4
Be 0.0000 0.0000 0.5000 x4
F 0.2500 0.2500 0.2500 x8

**Energy above the most stable polymorph in this dataset**: 975 meV/atom
**Energy**: -3.328 eV per atom
**Uncorrected formation energy**: -457.9 kJ/mol of formula units